# ThTl2Pb (PBE, relaxed)
# * spin magnetization: 0.000 Bohr magnetons per cell
# * uncorrected energy: -15.87 eV per formula unit
# * energy relative to the elements: 0.00 eV/atom
# * D(E_F): 3.3 states/eV per cell
data_ThTl2Pb
_chemical_formula_sum 'Th1 Tl2 Pb1'
_cell_length_a 4.037
_cell_length_b 4.037
_cell_length_c 7.171
_cell_angle_alpha 90.00
_cell_angle_beta 90.00
_cell_angle_gamma 90.00
_symmetry_space_group_name_H-M 'P 4/m m m'
_symmetry_Int_Tables_number 123
_symmetry_space_group_name_Hall '-P 4 2'
loop_
_atom_site_label
_atom_site_type_symbol
_atom_site_fract_x
_atom_site_fract_y
_atom_site_fract_z
Th1 Th 0.000 0.000 0.000
Tl1 Tl 0.500 0.500 0.263
Pb1 Pb 0.000 0.000 0.500